This record from Alexandria via LeMat-Bulk describes a geometry-optimized Tl3Co2F9 structure. The functional is PBE with a Hubbard U.

abc: 5.966 5.966 7.563
angles: 90.00 90.00 120.00
Positions (direct):
Tl 0.000 0.000 0.000
Tl 0.333 0.667 0.362
Tl 0.667 0.333 0.638
Co 0.333 0.667 0.845
Co 0.667 0.333 0.155
F 0.000 0.500 0.000
F 0.182 0.364 0.711
F 0.182 0.818 0.711
F 0.364 0.182 0.289
F 0.500 0.000 0.000
F 0.500 0.500 0.000
F 0.636 0.818 0.711
F 0.818 0.182 0.289
F 0.818 0.636 0.289

The total energy is -60.65 eV per cell.